(1)
Entry from the Alexandria database: a relaxed PmZnSiNi crystal (PBE-GGA). Values from VASP.

Cell and atoms, written as Quantum ESPRESSO input:
```
&SYSTEM
  ibrav = 0, nat = 4, ntyp = 4
/
ATOMIC_SPECIES
Ni 58.69 Ni.upf
Zn 65.41 Zn.upf
Si 28.09 Si.upf
Pm 145.00 Pm.upf
CELL_PARAMETERS angstrom
-1.060 -0.625 4.421
-3.386 -2.869 1.164
0.975 -3.987 2.052
ATOMIC_POSITIONS angstrom
Ni -2.603 -5.611 5.727
Zn -0.868 -1.870 1.909
Si -1.736 -3.741 3.818
Pm 0.000 0.000 0.000
```

## Properties
- VASP energy: -4.5455 eV/atom
- ΔE_f (raw): -0.24 eV per atom
- SG: F-43m

(2)
Entry from the Alexandria database: a relaxed PmZn2SiNi4 crystal (PBE-GGA). Values from VASP.

Cell and atoms, written as Quantum ESPRESSO input:
```
&SYSTEM
  ibrav = 0, nat = 8, ntyp = 4
/
ATOMIC_SPECIES
Pm 145.00 Pm.upf
Zn 65.41 Zn.upf
Si 28.09 Si.upf
Ni 58.69 Ni.upf
CELL_PARAMETERS angstrom
-2.845 -2.424 -1.544
1.027 -3.590 -1.551
-1.648 -5.511 6.393
ATOMIC_POSITIONS angstrom
Pm 0.000 0.000 0.000
Zn -2.572 -8.552 2.278
Zn -0.894 -2.973 1.020
Si -1.733 -5.763 1.649
Ni -2.017 -6.720 3.675
Ni -2.245 -7.452 -0.051
Ni -1.221 -4.073 3.348
Ni -1.448 -4.806 -0.378
```

## Properties
- VASP energy: -4.8365 eV/atom
- ΔE_f (raw): -0.36 eV per atom
- SG: R-3m

(3)
Entry from the Alexandria database: a relaxed Pm2ZnSi3Ni4 crystal (PBE-GGA). Values from VASP.

Cell and atoms, written as Quantum ESPRESSO input:
```
&SYSTEM
  ibrav = 0, nat = 10, ntyp = 4
/
ATOMIC_SPECIES
Pm 145.00 Pm.upf
Zn 65.41 Zn.upf
Si 28.09 Si.upf
Ni 58.69 Ni.upf
CELL_PARAMETERS angstrom
-2.848 -1.515 -2.474
0.822 -3.747 1.348
-6.552 1.045 6.901
ATOMIC_POSITIONS angstrom
Pm -3.051 -0.498 0.476
Pm -4.515 -1.088 5.862
Zn -4.289 -2.108 2.887
Si -3.276 0.522 3.451
Si -7.162 0.157 4.806
Si -0.403 -1.743 1.532
Ni -1.013 -2.631 -0.563
Ni 0.000 0.000 0.000
Ni -5.572 -0.096 3.132
Ni -1.993 -1.490 3.206
```

## Properties
- VASP energy: -5.7283 eV/atom
- ΔE_f (raw): -0.71 eV per atom
- SG: P-4m2